(1)
# ReSnTe2

A relaxed ReSnTe2 crystal (PBE, the Alexandria database).

Cell: 6.8873 6.8873 7.4459 Å, 62.45 62.45 90.00°
Last column: nearest neighbours and their distance in Å.
Fractional coordinates of all 8 atoms:
Re (0.0000, 0.0000, 0.0000)  4 Te 2.57
Re (0.7500, 0.2500, 0.5000)  4 Te 2.57
Te (0.6884, 0.1250, 0.2500)  2 Re 2.57
Te (0.0616, 0.6250, 0.2500)  2 Re 2.57
Te (0.3750, 0.3116, 0.7500)  2 Re 2.57
Te (0.8750, 0.9384, 0.7500)  2 Re 2.57
Sn (0.5000, 0.5000, 0.0000)  4 Te 3.10
Sn (0.2500, 0.7500, 0.5000)  4 Te 3.10

## Properties
- uncorrected formation energy (eV/atom) = 0.577
- uncorrected energy (eV/atom) = -5.107

---

(2)
# BaIn2Co

A relaxed BaIn2Co crystal (PBE, the Alexandria database).

Cell: 3.4013 3.4013 8.3674 Å, 90.00 90.00 90.00°
Last column: nearest neighbours and their distance in Å.
Fractional coordinates of all 4 atoms:
Ba (0.5000, 0.5000, 0.2500)  4 Ba 3.40, 8 In 3.63
Co (0.5000, 0.5000, 0.7500)  8 In 2.82
In (0.0000, 0.0000, 0.9256)  4 Co 2.82, 1 In 2.94
In (0.0000, 0.0000, 0.5744)  4 Co 2.82, 1 In 2.94

## Properties
- calculated formation energy (eV per atom) = 0.017
- uncorrected energy (eV/atom) = -3.609

---

(3)
# CeH4Pd2Rh

A relaxed CeH4Pd2Rh crystal (PBE, the Alexandria database).

Cell: 4.8125 4.8125 4.8125 Å, 113.81 113.81 101.11°
Last column: nearest neighbours and their distance in Å.
Fractional coordinates of all 8 atoms:
Ce (0.5000, 0.5000, 0.0000)  8 H 2.45-2.52
H (0.6310, 0.6310, 0.6142)  1 Rh 1.79, 2 Pd 1.96
H (0.9832, 0.3690, 0.0000)  1 Rh 1.79, 2 Pd 1.96
H (0.3690, 0.9832, 0.0000)  1 Rh 1.79, 2 Pd 1.96
H (0.0168, 0.0168, 0.3858)  1 Rh 1.79, 2 Pd 1.96
Pd (0.7500, 0.2500, 0.5000)  4 H 1.96
Pd (0.2500, 0.7500, 0.5000)  4 H 1.96
Rh (0.0000, 0.0000, 0.0000)  4 H 1.79

## Properties
- uncorrected energy (eV/atom) = -5.021